Record 1
Here is a relaxed AcTb2Eu crystal from Alexandria via LeMat-Bulk. Energies are from PBE.

Unit cell a=3.7940 b=3.7940 c=10.2867 alpha=90.00 beta=90.00 gamma=90.00
With the nearest neighbours (Å) after each atom.
Element x y z (fractional)
Eu  0.5000  0.5000  0.5000  8 Tb 3.73, 4 Eu 3.79
Ac  0.5000  0.5000  0.0000  8 Tb 3.70, 4 Ac 3.79
Tb  0.0000  0.0000  0.7516  4 Ac 3.70, 4 Eu 3.73, 4 Tb 3.79
Tb  0.0000  0.0000  0.2484  4 Ac 3.70, 4 Eu 3.73, 4 Tb 3.79

Values from the calculation:
- Formation enthalpy at 0 K: 0.087 eV/atom
- Excess energy over the best structure of this formula in the dataset: 12 meV per atom
- SG: No. 123


Record 2
Here is a relaxed Y2CoMo crystal from Alexandria via LeMat-Bulk. Energies are from PBE.

Unit cell a=5.9506 b=5.9506 c=4.9875 alpha=65.37 beta=65.37 gamma=32.65
With the nearest neighbours (Å) after each atom.
Element x y z (fractional)
Co  0.5372  0.5372  0.5195  2 Mo 2.33
Mo  0.1885  0.1885  0.2778  2 Co 2.33
Y  0.9906  0.9906  0.0112  2 Co 2.82, 1 Mo 3.08
Y  0.7837  0.7837  0.6915  3 Co 3.12-3.28, 4 Mo 3.13-3.19, 6 Y 3.18-3.45

Values from the calculation:
- Formation enthalpy at 0 K: 0.174 eV/atom
- Excess energy over the best structure of this formula in the dataset: 96 meV per atom
- SG: No. 8


Record 3
Here is a relaxed NdEr2Ag crystal from Alexandria via LeMat-Bulk. Energies are from PBE.

Unit cell a=3.5758 b=3.5758 c=10.6550 alpha=80.34 beta=80.34 gamma=60.00
With the nearest neighbours (Å) after each atom.
Element x y z (fractional)
Nd  0.5000  0.5000  0.5000  6 Nd 3.58, 6 Er 3.59
Ag  0.0000  0.0000  0.0000  6 Er 3.09
Er  0.2602  0.2602  0.2193  3 Ag 3.09
Er  0.7398  0.7398  0.7807  3 Ag 3.09

Values from the calculation:
- Formation enthalpy at 0 K: -0.015 eV/atom
- Excess energy over the best structure of this formula in the dataset: 123 meV per atom
- SG: No. 166


Record 4
Here is a relaxed Y2In8Co crystal from Alexandria via LeMat-Bulk. Energies are from PBE.

Unit cell a=4.5972 b=4.5972 c=12.1867 alpha=90.00 beta=90.00 gamma=90.00
With the nearest neighbours (Å) after each atom.
Element x y z (fractional)
Co  0.0000  0.0000  0.0000  8 In 2.71
In  0.0000  0.5000  0.1185  2 Co 2.71, 1 In 2.89
In  0.5000  0.0000  0.1185  2 Co 2.71, 1 In 2.89
In  0.0000  0.5000  0.8815  2 Co 2.71, 1 In 2.89
In  0.5000  0.0000  0.8815  2 Co 2.71, 1 In 2.89
In  0.0000  0.5000  0.5000  8 In 3.25-3.28, 4 Y 3.29
In  0.5000  0.0000  0.5000  8 In 3.25-3.28, 4 Y 3.29
In  0.5000  0.5000  0.3080  4 Y 3.25, 8 In 3.26-3.28
In  0.5000  0.5000  0.6920  4 Y 3.25, 8 In 3.26-3.28
Y  0.0000  0.0000  0.3067  12 In 3.25-3.29
Y  0.0000  0.0000  0.6933  12 In 3.25-3.29

Values from the calculation:
- Formation enthalpy at 0 K: -0.308 eV/atom
- SG: No. 123


Record 5
Here is a relaxed SiPbCl2 crystal from Alexandria via LeMat-Bulk. Energies are from PBE.

Unit cell a=6.5407 b=6.5407 c=6.5407 alpha=143.24 beta=143.24 gamma=52.96
With the nearest neighbours (Å) after each atom.
Element x y z (fractional)
Cl  0.0000  0.0000  0.0000  4 Pb 2.92
Cl  0.2500  0.7500  0.5000  4 Si 2.92
Pb  0.5000  0.5000  0.0000  4 Cl 2.92
Si  0.7500  0.2500  0.5000  4 Cl 2.92

Values from the calculation:
- ΔE_f (raw): -32 meV/atom
- Excess energy over the best structure of this formula in the dataset: 351 meV per atom
- SG: No. 119


Record 6
Here is a relaxed BaRe2Cl crystal from Alexandria via LeMat-Bulk. Energies are from PBE.

Unit cell a=4.9935 b=4.9935 c=8.9249 alpha=73.75 beta=73.75 gamma=90.00
With the nearest neighbours (Å) after each atom.
Element x y z (fractional)
Re  0.3655  0.1250  0.2500  2 Cl 2.40, 2 Re 2.50
Re  0.3845  0.6250  0.2500  2 Cl 2.40, 2 Re 2.50
Re  0.3750  0.6345  0.7500  2 Cl 2.40, 2 Re 2.50
Re  0.8750  0.6155  0.7500  2 Cl 2.40, 2 Re 2.50
Ba  0.0000  0.0000  0.0000  8 Re 3.43-3.50, 4 Cl 3.53
Ba  0.7500  0.2500  0.5000  8 Re 3.43-3.50, 4 Cl 3.53
Cl  0.5000  0.5000  0.0000  4 Re 2.40
Cl  0.2500  0.7500  0.5000  4 Re 2.40

Values from the calculation:
- ΔE_f (raw): 1025 meV/atom
- Excess energy over the best structure of this formula in the dataset: 912 meV per atom
- SG: No. 122


Record 7
Here is a relaxed NaPt3Br crystal from Alexandria via LeMat-Bulk. Energies are from PBE.

Unit cell a=4.8134 b=4.8134 c=4.8134 alpha=90.00 beta=90.00 gamma=90.00
With the nearest neighbours (Å) after each atom.
Element x y z (fractional)
Na  0.5000  0.5000  0.5000  12 Pt 3.40
Br  0.0000  0.0000  0.0000  6 Pt 2.41
Pt  0.0000  0.5000  0.0000  2 Br 2.41
Pt  0.0000  0.0000  0.5000  2 Br 2.41
Pt  0.5000  0.0000  0.0000  2 Br 2.41

Values from the calculation:
- ΔE_f (raw): 745 meV/atom
- Excess energy over the best structure of this formula in the dataset: 0 meV per atom
- SG: No. 221


Record 8
Here is a relaxed AcDySb crystal from Alexandria via LeMat-Bulk. Energies are from PBE.

Unit cell a=4.7005 b=4.7003 c=9.0953 alpha=90.00 beta=90.00 gamma=90.00
With the nearest neighbours (Å) after each atom.
Element x y z (fractional)
Ac  0.8136  0.8665  0.5682  5 Sb 3.44-3.58
Ac  0.3136  0.3664  0.2711  5 Sb 3.44-3.58
Dy  0.8136  0.3665  0.9196  4 Sb 3.30, 4 Dy 3.32
Dy  0.3136  0.8665  0.9196  4 Sb 3.30, 4 Dy 3.32
Sb  0.8136  0.8664  0.1743  4 Dy 3.30, 5 Ac 3.44-3.58
Sb  0.3136  0.3665  0.6649  4 Dy 3.30, 5 Ac 3.44-3.58

Values from the calculation:
- ΔE_f (raw): -794 meV/atom
- Excess energy over the best structure of this formula in the dataset: 0 meV per atom
- SG: No. 129


Record 9
Here is a relaxed Li2Ir2Ru crystal from Alexandria via LeMat-Bulk. Energies are from PBE.

Unit cell a=6.6915 b=6.6915 c=2.7828 alpha=90.00 beta=90.00 gamma=90.00
With the nearest neighbours (Å) after each atom.
Element x y z (fractional)
Ru  0.0000  0.0000  0.0000  4 Li 2.72, 2 Ru 2.78, 8 Ir 2.80
Ru  0.5000  0.5000  0.0000  4 Li 2.72, 2 Ru 2.78, 8 Ir 2.80
Ir  0.1937  0.6937  0.5000  6 Li 2.34-2.52
Ir  0.6937  0.8063  0.5000  6 Li 2.34-2.52
Ir  0.8063  0.3063  0.5000  6 Li 2.34-2.52
Ir  0.3063  0.1937  0.5000  6 Li 2.34-2.52
Li  0.3927  0.8927  0.0000  1 Li 2.03
Li  0.8927  0.6073  0.0000  1 Li 2.03
Li  0.6073  0.1073  0.0000  1 Li 2.03
Li  0.1073  0.3927  0.0000  1 Li 2.03

Values from the calculation:
- Formation enthalpy at 0 K: 0.224 eV/atom
- SG: No. 127


Record 10
Here is a relaxed ZnOsBr2 crystal from Alexandria via LeMat-Bulk. Energies are from PBE.

Unit cell a=8.8515 b=8.8515 c=6.7481 alpha=49.02 beta=49.02 gamma=90.00
With the nearest neighbours (Å) after each atom.
Element x y z (fractional)
Zn  0.5000  0.5000  0.0000  2 Os 2.52
Zn  0.2500  0.7500  0.5000  2 Os 2.52
Os  0.0000  0.0000  0.0000  4 Br 2.51, 2 Zn 2.52
Os  0.7500  0.2500  0.5000  4 Br 2.51, 2 Zn 2.52
Br  0.7629  0.1250  0.2500  2 Os 2.51
Br  0.9871  0.6250  0.2500  2 Os 2.51
Br  0.3750  0.2371  0.7500  2 Os 2.51
Br  0.8750  0.0129  0.7500  2 Os 2.51

Values from the calculation:
- ΔE_f (raw): 428 meV/atom
- Excess energy over the best structure of this formula in the dataset: 244 meV per atom
- SG: No. 122


Record 11
Here is a relaxed LiAcOsO4 crystal from Alexandria via LeMat-Bulk. Energies are from PBE.

Unit cell a=5.7461 b=6.8193 c=8.1700 alpha=126.81 beta=90.00 gamma=114.93
With the nearest neighbours (Å) after each atom.
Element x y z (fractional)
Li  0.9215  0.8431  0.1708  2 O 1.79
Li  0.0785  0.1569  0.8292  2 O 1.79
Ac  0.5000  0.0000  0.5000  6 O 2.48-2.51
Ac  0.5000  0.0000  0.0000  6 O 2.48-2.51
Os  0.5000  0.5000  0.5000  6 O 2.06-2.09
Os  0.0000  0.5000  0.5000  6 O 2.06-2.09
O  0.7642  0.5285  0.6985  2 Os 2.09
O  0.2886  0.0574  0.2787  1 Li 1.79
O  0.7686  0.0573  0.2786  1 Li 1.79
O  0.7641  0.5282  0.3300  2 Os 2.08
O  0.2359  0.4718  0.6700  2 Os 2.08
O  0.7114  0.9426  0.7213  1 Li 1.79
O  0.2314  0.9427  0.7214  1 Li 1.79
O  0.2358  0.4715  0.3015  2 Os 2.09

Values from the calculation:
- ΔE_f (raw): -1830 meV/atom
- SG: No. 12


Record 12
Here is a relaxed Ca2AlGa4Pt3 crystal from Alexandria via LeMat-Bulk. Energies are from PBE.

Unit cell a=4.1352 b=4.1352 c=11.2377 alpha=90.00 beta=90.00 gamma=90.00
With the nearest neighbours (Å) after each atom.
Element x y z (fractional)
Ca  0.5000  0.0000  0.2495  8 Ga 3.17-3.48, 6 Pt 3.20-3.49, 2 Al 3.49
Ca  0.0000  0.5000  0.7505  8 Ga 3.17-3.48, 6 Pt 3.20-3.49, 2 Al 3.49
Al  0.5000  0.5000  0.5000  4 Ga 2.61
Ga  0.5000  0.5000  0.0000  4 Pt 2.56
Ga  0.0000  0.0000  0.0000  4 Pt 2.56
Ga  0.5000  0.0000  0.6411  3 Pt 2.52-2.61, 2 Al 2.61
Ga  0.0000  0.5000  0.3589  3 Pt 2.52-2.61, 2 Al 2.61
Pt  0.0000  0.0000  0.5000  4 Ga 2.61
Pt  0.5000  0.0000  0.8652  5 Ga 2.52-2.56
Pt  0.0000  0.5000  0.1348  5 Ga 2.52-2.56

Values from the calculation:
- Formation enthalpy at 0 K: -0.788 eV/atom
- SG: No. 115